Density functional theory data (PBE-GGA) for a relaxed structure of SrNiPb2.

Unit cell a=4.508 b=4.508 c=6.761 alpha=109.56 beta=109.56 gamma=60.08
Positions (direct):
Sr 0.000 0.000 0.000
Ni 0.500 0.500 0.500
Pb 0.218 0.218 0.654
Pb 0.782 0.782 0.346

Calculated values
The calculated volume comes out at 27.457 Å³ per atom. As for the formation energy: -0.204 eV/atom. As for the energy: -15.70 eV per cell.

***

Density functional theory data (PBE-GGA) for a relaxed structure of SrNi2Pb.

Unit cell a=3.566 b=3.566 c=6.687 alpha=90.00 beta=90.00 gamma=90.00
Positions (direct):
Sr 0.000 0.000 0.000
Ni 0.500 0.500 0.312
Ni 0.500 0.500 0.688
Pb 0.000 0.000 0.500

Calculated values
The calculated volume comes out at 21.258 Å³ per atom. As for the formation energy: 0.171 eV/atom. As for the energy: -16.27 eV per cell.

***

Density functional theory data (PBE-GGA) for a relaxed structure of Sr2Ni2Pb.

Unit cell a=5.658 b=5.658 c=5.658 alpha=117.03 beta=117.03 gamma=95.22
Positions (direct):
Sr 0.250 0.750 0.500
Sr 0.750 0.250 0.500
Ni 0.154 0.154 0.000
Ni 0.846 0.846 0.000
Pb 0.500 0.500 0.000

Calculated values
The calculated volume comes out at 26.650 Å³ per atom. As for the formation energy: 0.010 eV/atom. As for the energy: -18.58 eV per cell.

***

formation energy of number 1 (SrNiPb2)? -0.204 eV/atom